(1)
Ca2MnHPd6 | PBE | relaxed

Summary:
The symmetry is No. 12.

```
Ca2MnHPd6
1.0
-4.795 -2.183 4.489
-3.720 -0.657 -4.295
-3.662 -5.860 0.260
Ca Mn H Pd
2 1 1 6
Direct
0.720 0.279 0.441
0.280 0.721 0.559
0.000 0.000 0.000
0.500 0.500 0.000
0.225 0.271 0.458
0.730 0.776 0.953
0.270 0.730 0.047
0.730 0.270 0.953
0.270 0.224 0.047
0.775 0.729 0.542
```


(2)
Ca2MnH12Rh3 | PBE | relaxed

Summary:
The symmetry is No. 166.

```
Ca2MnH12Rh3
1.0
-0.953 4.599 3.537
1.662 -0.779 5.586
4.830 2.953 1.587
Ca Mn H Rh
2 1 12 3
Direct
0.627 0.627 0.627
0.373 0.373 0.373
0.000 0.000 0.000
0.330 0.330 0.885
0.887 0.887 0.362
0.362 0.887 0.887
0.885 0.330 0.330
0.887 0.362 0.887
0.330 0.885 0.330
0.670 0.670 0.115
0.113 0.113 0.638
0.638 0.113 0.113
0.115 0.670 0.670
0.113 0.638 0.113
0.670 0.115 0.670
0.500 0.000 0.000
0.000 0.500 0.000
0.000 0.000 0.500
```


(3)
CaSc2MnH | PBE | relaxed

Summary:
The symmetry is No. 123.

```
CaSc2MnH
1.0
-2.844 0.525 -3.370
-2.879 -2.722 2.005
-1.998 3.791 2.276
Sc H Ca Mn
2 1 1 1
Direct
0.000 0.500 0.000
0.500 0.000 0.000
0.000 0.000 0.000
0.000 0.000 0.500
0.500 0.500 0.500
```


(4)
CaMnHSe2 | PBE | relaxed

Summary:
The symmetry is No. 123.

```
CaMnHSe2
1.0
-0.791 4.947 -0.570
-3.566 -0.966 -3.432
-2.545 -0.099 2.672
H Ca Mn Se
1 1 1 2
Direct
0.000 0.000 0.500
0.500 0.500 0.500
0.000 0.000 0.000
0.000 0.500 0.000
0.500 0.000 0.000
```


(5)
Ca2TiMnH | PBE | relaxed

Summary:
The symmetry is No. 123.

```
Ca2TiMnH
1.0
5.612 0.000 0.000
0.000 3.238 0.000
0.000 0.000 5.612
H Ca Mn Ti
1 2 1 1
Direct
0.000 0.500 0.000
0.000 0.000 0.500
0.500 0.000 0.000
0.500 0.500 0.500
0.000 0.000 0.000
```


(6)
CaMnZnH6 | PBE | relaxed

Summary:
The symmetry is No. 194.

```
CaMnZnH6
1.0
4.496 0.000 0.000
-2.248 3.894 0.000
0.000 0.000 8.763
Ca Mn Zn H
2 2 2 12
Direct
0.000 0.000 0.000
0.000 0.000 0.500
0.667 0.333 0.250
0.333 0.667 0.750
0.333 0.667 0.250
0.667 0.333 0.750
0.519 0.481 0.119
0.962 0.481 0.119
0.481 0.962 0.619
0.038 0.519 0.881
0.519 0.481 0.381
0.962 0.481 0.381
0.481 0.962 0.881
0.519 0.038 0.381
0.038 0.519 0.619
0.519 0.038 0.119
0.481 0.519 0.619
0.481 0.519 0.881
```


Across the entries above, total energy takes the values -5.19; -4.47; -5.35; -5.08; -4.10; -3.80 eV per atom, respectively.